The following is a DFT calculation (GGA-PBEsol) of crystalline TiTlFe2 at its relaxed geometry.

## Properties
V in Å³/atom: 13.8
Uncorrected energy in eV/atom: -7.07

abc: 6.037 6.037 6.037
angles: 90.00 90.00 90.00
Space group Fm-3m (No. 225)
Symmetry-distinct sites (fractional):
Ti1 0.000 0.000 0.000 x4
Tl1 0.000 0.000 0.500 x4
Fe1 0.250 0.250 0.250 x8